(1)
Computed, not measured: TmScZnCu after structural relaxation at the GGA-PBE level of DFT.

a = 3.403 Å, b = 3.403 Å, c = 6.720 Å
α = 90.00°, β = 90.00°, γ = 90.00°
Fractional positions:
Tm 0.500 0.500 0.114
Sc 0.500 0.500 0.600
Zn 0.000 0.000 0.836
Cu 0.000 0.000 0.378

Output
Theoretical density = 7.3 g/cm3
VASP energy = -4.36 eV per atom
ΔH_f (0 K) = -0.314 eV/atom

---

(2)
Computed, not measured: ScVCu4 after structural relaxation at the GGA-PBE level of DFT.

a = 4.946 Å, b = 4.946 Å, c = 4.946 Å
α = 60.00°, β = 60.00°, γ = 60.00°
Last column: magnetic moment on the atom in μB.
Fractional positions:
Sc 0.000 0.000 0.000  0.27
Cu 0.625 0.625 0.126  0.09
Cu 0.625 0.126 0.625  0.09
Cu 0.625 0.625 0.625  0.09
Cu 0.126 0.625 0.625  0.09
V 0.250 0.250 0.250  2.42

Output
Theoretical density = 6.8 g/cm3
VASP energy = -5.31 eV per atom
ΔH_f (0 K) = -0.004 eV/atom

---

(3)
Computed, not measured: ScV2Cu2 after structural relaxation at the GGA-PBE level of DFT.

a = 7.237 Å, b = 7.237 Å, c = 2.830 Å
α = 90.00°, β = 90.00°, γ = 90.00°
Fractional positions:
Sc 0.000 0.000 0.000
Sc 0.500 0.500 0.000
Cu 0.378 0.878 0.000
Cu 0.878 0.622 0.000
Cu 0.622 0.122 0.000
Cu 0.122 0.378 0.000
V 0.172 0.672 0.500
V 0.672 0.828 0.500
V 0.828 0.328 0.500
V 0.328 0.172 0.500

Output
Theoretical density = 6.1 g/cm3
VASP energy = -6.28 eV per atom
ΔH_f (0 K) = 0.275 eV/atom

---

(4)
Computed, not measured: ScV2Cu2 after structural relaxation at the GGA-PBE level of DFT.

a = 3.489 Å, b = 3.489 Å, c = 6.751 Å
α = 75.03°, β = 75.03°, γ = 90.00°
Fractional positions:
Sc 0.000 0.000 0.000
Cu 0.404 0.404 0.193
Cu 0.596 0.596 0.807
V 0.750 0.250 0.500
V 0.250 0.750 0.500

Output
Theoretical density = 5.9 g/cm3
VASP energy = -6.40 eV per atom
ΔH_f (0 K) = 0.156 eV/atom

---

(5)
Computed, not measured: Sc2V2Cu after structural relaxation at the GGA-PBE level of DFT.

a = 3.841 Å, b = 3.841 Å, c = 6.861 Å
α = 73.75°, β = 73.75°, γ = 90.00°
Fractional positions:
Sc 0.750 0.250 0.500
Sc 0.250 0.750 0.500
Cu 0.000 0.000 0.000
V 0.426 0.426 0.147
V 0.574 0.574 0.853

Output
Theoretical density = 4.6 g/cm3
VASP energy = -6.24 eV per atom
ΔH_f (0 K) = 0.757 eV/atom

---

(6)
Computed, not measured: Sc2VCu after structural relaxation at the GGA-PBE level of DFT.

a = 3.432 Å, b = 4.612 Å, c = 4.612 Å
α = 90.00°, β = 90.00°, γ = 90.00°
Last column: magnetic moment on the atom in μB.
Fractional positions:
Sc 0.000 0.000 0.500  0.20
Sc 0.000 0.500 0.000  0.20
Cu 0.500 0.000 0.000  0.04
V 0.500 0.500 0.500  2.26

Output
Theoretical density = 4.6 g/cm3
VASP energy = -6.44 eV per atom
ΔH_f (0 K) = 0.030 eV/atom

---

(7)
Computed, not measured: Sc3VCu after structural relaxation at the GGA-PBE level of DFT.

a = 4.849 Å, b = 4.849 Å, c = 4.849 Å
α = 90.00°, β = 90.00°, γ = 90.00°
Fractional positions:
Sc 0.000 0.500 0.000
Sc 0.000 0.000 0.500
Sc 0.500 0.000 0.000
Cu 0.500 0.500 0.500
V 0.000 0.000 0.000

Output
Theoretical density = 3.6 g/cm3
VASP energy = -5.78 eV per atom
ΔH_f (0 K) = 0.659 eV/atom

---

(8)
Computed, not measured: Sc2VCu after structural relaxation at the GGA-PBE level of DFT.

a = 4.698 Å, b = 4.698 Å, c = 4.698 Å
α = 60.00°, β = 60.00°, γ = 60.00°
Last column: magnetic moment on the atom in μB.
Fractional positions:
Sc 0.250 0.250 0.250  0.22
Sc 0.750 0.750 0.750  0.22
Cu 0.500 0.500 0.500  0.05
V 0.000 0.000 0.000  2.39

Output
Theoretical density = 4.6 g/cm3
VASP energy = -6.41 eV per atom
ΔH_f (0 K) = 0.064 eV/atom

---

(9)
Computed, not measured: ScV3Cu after structural relaxation at the GGA-PBE level of DFT.

a = 4.455 Å, b = 4.455 Å, c = 4.455 Å
α = 90.00°, β = 90.00°, γ = 90.00°
Last column: magnetic moment on the atom in μB.
Fractional positions:
Sc 0.000 0.000 0.000  0.14
Cu 0.500 0.500 0.500  0.04
V 0.000 0.500 0.000  1.12
V 0.000 0.000 0.500  1.12
V 0.500 0.000 0.000  1.12

Output
Theoretical density = 4.9 g/cm3
VASP energy = -5.80 eV per atom
ΔH_f (0 K) = 1.758 eV/atom

---

(10)
Computed, not measured: ScVCu3 after structural relaxation at the GGA-PBE level of DFT.

a = 4.507 Å, b = 4.507 Å, c = 4.507 Å
α = 90.00°, β = 90.00°, γ = 90.00°
Last column: magnetic moment on the atom in μB.
Fractional positions:
Sc 0.500 0.500 0.500  0.00
Cu 0.000 0.500 0.000  0.10
Cu 0.000 0.000 0.500  0.10
Cu 0.500 0.000 0.000  0.10
V 0.000 0.000 0.000  1.78

Output
Theoretical density = 5.2 g/cm3
VASP energy = -4.79 eV per atom
ΔH_f (0 K) = 0.759 eV/atom

---

(11)
Computed, not measured: ScVCu after structural relaxation at the GGA-PBE level of DFT.

a = 4.300 Å, b = 4.075 Å, c = 5.910 Å
α = 90.00°, β = 111.33°, γ = 90.00°
Fractional positions:
Cu 0.752 0.250 0.504
Cu 0.248 0.750 0.496
Sc 0.402 0.250 0.804
Sc 0.598 0.750 0.196
V 0.076 0.250 0.153
V 0.924 0.750 0.847

Output
Theoretical density = 5.5 g/cm3
VASP energy = -6.42 eV per atom
ΔH_f (0 K) = 0.094 eV/atom

---

(12)
Computed, not measured: ScV2Cu2 after structural relaxation at the GGA-PBE level of DFT.

a = 3.838 Å, b = 3.838 Å, c = 6.062 Å
α = 71.55°, β = 71.55°, γ = 90.00°
Last column: magnetic moment on the atom in μB.
Fractional positions:
Sc 0.000 0.000 0.000  0.13
Cu 0.750 0.250 0.500  0.06
Cu 0.250 0.750 0.500  0.06
V 0.398 0.398 0.203  1.18
V 0.602 0.602 0.797  1.18

Output
Theoretical density = 5.7 g/cm3
VASP energy = -6.19 eV per atom
ΔH_f (0 K) = 0.358 eV/atom